HfTcIO2 | PBE | optimized geometry

## Properties
E_form (uncorrected): -904 meV per atom
Space-group type: P4/mmm, No. 123
Total moment: 3.56 μB/f.u.
Offset from the most stable computed form: 0 meV/atom

Structure (POSCAR):
```
HfTcIO2
1.0
4.041 0.000 0.000
0.000 4.041 0.000
0.000 0.000 6.136
Tc I O Hf
1 1 2 1
Direct
0.500 0.500 0.500 Tc
0.000 0.000 0.500 I
0.000 0.500 0.000 O
0.500 0.000 0.000 O
0.000 0.000 0.000 Hf
```

---

HfTeIO2 | PBE | optimized geometry

## Properties
E_form (uncorrected): -1259 meV per atom
Space-group type: P4/mmm, No. 123
Total moment: 0.00 μB/f.u.
Offset from the most stable computed form: 0 meV/atom

Structure (POSCAR):
```
HfTeIO2
1.0
-3.524 -2.043 0.799
2.171 -3.029 1.828
-0.495 3.078 5.688
I Hf O Te
1 1 2 1
Direct
0.000 0.000 0.500 I
0.000 0.000 0.000 Hf
0.500 0.000 0.000 O
0.000 0.500 0.000 O
0.500 0.500 0.500 Te
```

---

HfTeIO2 | PBE | optimized geometry

## Properties
E_form (uncorrected): 194 meV per atom
Space-group type: P4/mmm, No. 123
Total moment: 1.80 μB/f.u.
Offset from the most stable computed form: 1453 meV/atom

Structure (POSCAR):
```
HfTeIO2
1.0
-2.450 -2.671 1.956
2.512 0.085 3.263
-3.905 5.676 2.858
I O Hf Te
1 2 1 1
Direct
0.000 0.000 0.500 I
0.000 0.500 0.000 O
0.500 0.000 0.000 O
0.500 0.500 0.500 Hf
0.000 0.000 0.000 Te
```

---

HfTeI2O | PBE | optimized geometry

## Properties
E_form (uncorrected): 136 meV per atom
Space-group type: P4/mmm, No. 123
Total moment: 1.91 μB/f.u.
Offset from the most stable computed form: 973 meV/atom

Structure (POSCAR):
```
HfTeI2O
1.0
-3.039 -4.481 -1.835
3.911 -0.994 -4.050
2.766 -3.302 3.481
I Te O Hf
2 1 1 1
Direct
0.000 0.500 0.000 I
0.500 0.000 0.000 I
0.000 0.000 0.500 Te
0.500 0.500 0.500 O
0.000 0.000 0.000 Hf
```

---

HfTe2IO | PBE | optimized geometry

## Properties
E_form (uncorrected): 183 meV per atom
Space-group type: P4/mmm, No. 123
Total moment: 0.33 μB/f.u.
Offset from the most stable computed form: 0 meV/atom

Structure (POSCAR):
```
HfTe2IO
1.0
4.505 0.000 0.000
0.000 4.505 0.000
0.000 0.000 5.863
Hf Te I O
1 2 1 1
Direct
0.500 0.500 0.500 Hf
0.500 0.000 0.000 Te
0.000 0.500 0.000 Te
0.000 0.000 0.500 I
0.000 0.000 0.000 O
```

---

HfTeI2O | PBE | optimized geometry

## Properties
E_form (uncorrected): 420 meV per atom
Space-group type: P4/mmm, No. 123
Total moment: 1.98 μB/f.u.
Offset from the most stable computed form: 1256 meV/atom

Structure (POSCAR):
```
HfTeI2O
1.0
-6.003 0.416 1.177
0.772 -3.307 5.105
0.640 3.357 2.077
I O Te Hf
2 1 1 1
Direct
0.000 0.500 0.000 I
0.500 0.000 0.000 I
0.000 0.000 0.500 O
0.000 0.000 0.000 Te
0.500 0.500 0.500 Hf
```

---

HfTe2IO | PBE | optimized geometry

## Properties
E_form (uncorrected): 551 meV per atom
Space-group type: P4/mmm, No. 123
Total moment: 1.07 μB/f.u.
Offset from the most stable computed form: 368 meV/atom

Structure (POSCAR):
```
HfTe2IO
1.0
5.831 0.000 0.000
0.000 3.945 0.000
0.000 0.000 5.831
I Te O Hf
1 2 1 1
Direct
0.000 0.000 0.000 I
0.000 0.000 0.500 Te
0.500 0.000 0.000 Te
0.000 0.500 0.000 O
0.500 0.500 0.500 Hf
```

---

HfTeI2O | PBE | optimized geometry

## Properties
E_form (uncorrected): 455 meV per atom
Space-group type: P4/mmm, No. 123
Total moment: 0.28 μB/f.u.
Offset from the most stable computed form: 1291 meV/atom

Structure (POSCAR):
```
HfTeI2O
1.0
5.320 0.000 0.000
0.000 5.320 0.000
0.000 0.000 4.322
I Te O Hf
2 1 1 1
Direct
0.500 0.000 0.000 I
0.000 0.500 0.000 I
0.000 0.000 0.500 Te
0.000 0.000 0.000 O
0.500 0.500 0.500 Hf
```

---

HfTe2IO | PBE | optimized geometry

## Properties
E_form (uncorrected): 421 meV per atom
Space-group type: P4/mmm, No. 123
Total moment: 0.00 μB/f.u.
Offset from the most stable computed form: 238 meV/atom

Structure (POSCAR):
```
HfTe2IO
1.0
5.528 0.000 0.000
0.000 5.528 0.000
0.000 0.000 5.575
Te Hf O I
2 1 1 1
Direct
0.000 0.500 0.000 Te
0.500 0.000 0.000 Te
0.000 0.000 0.000 Hf
0.500 0.500 0.500 O
0.000 0.000 0.500 I
```

---

HfTeI2O | PBE | optimized geometry

## Properties
E_form (uncorrected): -836 meV per atom
Space-group type: P4/mmm, No. 123
Total moment: 0.00 μB/f.u.
Offset from the most stable computed form: 0 meV/atom

Structure (POSCAR):
```
HfTeI2O
1.0
-2.421 0.616 -5.361
3.676 -4.113 -2.132
-2.649 -2.820 0.872
Te Hf I O
1 1 2 1
Direct
0.500 0.500 0.500 Te
0.000 0.000 0.000 Hf
0.000 0.500 0.000 I
0.500 0.000 0.000 I
0.000 0.000 0.500 O
```

---

HfTiIO2 | PBE | optimized geometry

## Properties
E_form (uncorrected): -832 meV per atom
Space-group type: P4/mmm, No. 123
Total moment: 1.07 μB/f.u.
Offset from the most stable computed form: 500 meV/atom

Structure (POSCAR):
```
HfTiIO2
1.0
3.960 0.000 0.000
0.000 3.960 0.000
0.000 0.000 5.604
O Ti I Hf
2 1 1 1
Direct
0.000 0.500 0.000 O
0.500 0.000 0.000 O
0.000 0.000 0.000 Ti
0.000 0.000 0.500 I
0.500 0.500 0.500 Hf
```

---

HfTiIO2 | PBE | optimized geometry

## Properties
E_form (uncorrected): -1332 meV per atom
Space-group type: P4/mmm, No. 123
Total moment: 2.72 μB/f.u.
Offset from the most stable computed form: 0 meV/atom

Structure (POSCAR):
```
HfTiIO2
1.0
-2.265 3.349 -0.423
-3.371 -2.271 0.077
-0.259 0.589 6.044
O I Ti Hf
2 1 1 1
Direct
0.000 0.500 0.000 O
0.500 0.000 0.000 O
0.000 0.000 0.500 I
0.500 0.500 0.500 Ti
0.000 0.000 0.000 Hf
```

---

HfTlI2O8 | PBE | optimized geometry

## Properties
E_form (uncorrected): -1107 meV per atom
Space-group type: C2/m, No. 12
Total moment: 0.00 μB/f.u.

Structure (POSCAR):
```
HfTlI2O8
1.0
-2.041 -2.607 -3.808
1.288 -4.519 1.838
-6.325 -0.563 3.538
O I Hf Tl
8 2 1 1
Direct
0.830 0.235 0.210 O
0.235 0.830 0.210 O
0.320 0.320 0.559 O
0.287 0.287 0.952 O
0.713 0.713 0.048 O
0.765 0.170 0.790 O
0.170 0.765 0.790 O
0.680 0.680 0.441 O
0.463 0.463 0.761 I
0.537 0.537 0.239 I
0.000 0.000 0.000 Hf
0.000 0.000 0.500 Tl
```

---

HfTlIO2 | PBE | optimized geometry

## Properties
E_form (uncorrected): -1571 meV per atom
Space-group type: P4/mmm, No. 123
Total moment: 0.00 μB/f.u.
Offset from the most stable computed form: 0 meV/atom

Structure (POSCAR):
```
HfTlIO2
1.0
-3.631 -1.114 1.936
-1.629 -1.208 -3.750
2.128 -5.477 0.840
O Tl I Hf
2 1 1 1
Direct
0.000 0.500 0.000 O
0.500 0.000 0.000 O
0.500 0.500 0.500 Tl
0.000 0.000 0.500 I
0.000 0.000 0.000 Hf
```